# Na2SrNbO4, relaxed, DFT PBE
# **Raw total energy**: -6.4403 eV per atom
# **Magnetic moment**: 2.0 μB per cell
# **Formation energy (no corrections)**: -2.162 eV per atom
# **Density of states at the Fermi level**: 0.233 states/eV per atom
data_Na2SrNbO4
_chemical_formula_sum 'Na4 Sr2 Nb2 O8'
_cell_length_a 5.8207
_cell_length_b 5.8207
_cell_length_c 7.8837
_cell_angle_alpha 90.00
_cell_angle_beta 90.00
_cell_angle_gamma 90.00
_space_group_name_H-M_alt 'I -4'
_space_group_IT_number 82
loop_
_space_group_symop_operation_xyz
'x,y,z'
'y,-x,-z'
'-x,-y,z'
'-y,x,-z'
'x+1/2,y+1/2,z+1/2'
'y+1/2,-x+1/2,-z+1/2'
'-x+1/2,-y+1/2,z+1/2'
'-y+1/2,x+1/2,-z+1/2'
loop_
_atom_site_label
_atom_site_type_symbol
_atom_site_fract_x
_atom_site_fract_y
_atom_site_fract_z
Na1 Na 0.0000 0.0000 0.0000
Na2 Na 0.0000 0.5000 0.2500
Sr1 Sr 0.0000 0.0000 0.5000
Nb1 Nb 0.0000 0.5000 0.7500
O1 O 0.2136 0.7245 0.8419